Entry from Alexandria via LeMat-Bulk: an optimized crystal structure of LaTb5Y5 (PBE).

Output
The value obtained for the energy above the lowest structure with this stoichiometry is 0 meV/atom. Its energy of formation from the pure elements is 0.29 eV per atom.

Cell lengths 6.143, 6.143, 11.517 Å; angles 90.00, 90.00, 120.00 degrees
Fractional positions:
Tb1 0.337 0.168 0.500
Tb2 0.000 0.000 0.265
Tb3 0.832 0.168 0.500
Tb4 0.832 0.663 0.500
Tb5 0.000 0.000 0.735
Y1 0.000 0.000 0.000
Y2 0.333 0.667 0.669
Y3 0.333 0.667 0.331
Y4 0.667 0.333 0.838
Y5 0.667 0.333 0.162
La1 0.333 0.667 0.000